Below is an optimized crystal structure of Ac8Te4IrS3, with properties calculated at the PBE-GGA level.

Summary:
Fermi-level density of states   10.42 states/eV/f.u.
Total magnetic moment   0.00 Bohr magnetons per cell
ΔE_f (raw)   -1.59 eV per atom

The structure in CIF format:
```
data_Ac8Te4IrS3
_chemical_formula_sum 'Ac24 Te12 Ir3 S9'
_cell_length_a 8.9893
_cell_length_b 8.9893
_cell_length_c 22.9329
_cell_angle_alpha 90.00
_cell_angle_beta 90.00
_cell_angle_gamma 120.00
_symmetry_space_group_name_H-M 'R -3 m'
_symmetry_Int_Tables_number 166
_symmetry_space_group_name_Hall '-R 3 2"'
loop_
_atom_site_label
_atom_site_fract_x
_atom_site_fract_y
_atom_site_fract_z
_atom_site_occupancy
Ac1 0.0000 0.0000 0.2394 1
Ac2 0.0089 0.5045 0.2384 1
Te1 0.0000 0.0000 0.0000 1
Te2 0.0000 0.5000 0.0000 1
Ir1 0.0000 0.0000 0.5000 1
S1 0.0000 0.5000 0.5000 1
```